## CdGeIN2 (GGA-PBEsol)

Data for crystalline CdGeIN2 at its relaxed geometry.

Values from the calculation:
DOS at the Fermi energy = 0.432 states/eV per atom
VASP energy = -19.5 eV/cell
Density = 6.01 g/cm3
Formation energy without anion corrections = 1.0820 eV per atom

Cell lengths 3.8806, 3.8806, 6.2372 Å; angles 90.00, 90.00, 90.00 degrees
Last column: nearest neighbours and their distance in Å.
Atoms (fractional coordinates):
Cd  0.0000  0.0000  0.0000  4 I 2.74
Ge  0.5000  0.5000  0.5000  4 N 1.94
I  0.5000  0.5000  0.0000  4 Cd 2.74
N  0.0000  0.5000  0.5000  2 Ge 1.94
N  0.5000  0.0000  0.5000  2 Ge 1.94